Compound: TlPtBr4
Source: the Alexandria database
Functional: GGA-PBE
Structure: relaxed

Cell: 7.6091 7.6091 6.6475 Å, 124.91 124.91 90.00°
Last column: nearest neighbours and their distance in Å.
Sites, in units of the cell vectors:
1 Tl 0.7500 0.2500 0.5000  4 Br 3.15
2 Pt 0.5000 0.5000 0.0000  4 Br 2.43
3 Br 0.2595 0.7076 0.0267  1 Pt 2.43
4 Br 0.7672 0.3191 0.0267  1 Pt 2.43
5 Br 0.2924 0.2328 0.9733  1 Pt 2.43
6 Br 0.6809 0.7405 0.9733  1 Pt 2.43

Properties
- E (eV per formula unit) = -17.372
- energy relative to the elements, uncorrected (eV per atom) = -0.3789
- total moment (μB per cell) = 0.00
- density (g/cm3) = 5.28
- symmetry = No. 82